Material: Pm2Y5Er5
Method: DFT, PBE
State: relaxed

Cell: 7.9542 7.9542 11.2541 Å, 115.08 115.08 36.85°
Atoms (fractional coordinates):
Pm: 0.0833 0.0833 0.2485
Pm: 0.9167 0.9167 0.7515
Y: 0.3338 0.3338 0.5000
Y: 0.4154 0.4154 0.2493
Y: 0.5000 0.5000 0.0000
Y: 0.5846 0.5846 0.7507
Y: 0.6662 0.6662 0.5000
Er: 0.0000 0.0000 0.5000
Er: 0.1680 0.1680 0.0005
Er: 0.2494 0.2494 0.7508
Er: 0.7506 0.7506 0.2492
Er: 0.8320 0.8320 0.9995

## Properties
* energy of formation: 0.024 eV per atom
* crystal system: monoclinic
* SG: C2/m, No. 12